(i)
ThNbOs | PBE-GGA | optimized geometry

Cell and atoms, written as POSCAR:
```
ThNbOs
1.0
3.257 0.000 0.000
0.000 3.257 0.000
-1.628 -1.628 6.049
Nb Os Th
1 1 1
direct
0.698 0.698 0.395
0.309 0.309 0.618
0.993 0.993 0.986
```

(ii)
ThNbOs | PBE-GGA | optimized geometry

Cell and atoms, written as POSCAR:
```
ThNbOs
1.0
-1.184 -7.129 -0.252
0.603 -3.489 -7.874
6.718 -4.687 -2.727
Th Nb Os
6 6 6
direct
0.260 0.955 0.455
0.670 0.045 0.545
0.700 0.533 0.033
0.266 0.467 0.967
0.819 0.258 0.758
0.836 0.742 0.242
0.480 0.500 0.500
0.480 0.000 0.000
0.258 0.899 0.859
0.016 0.101 0.141
0.016 0.641 0.601
0.258 0.359 0.399
0.265 0.725 0.225
0.215 0.275 0.775
0.611 0.667 0.653
0.931 0.333 0.347
0.931 0.847 0.833
0.611 0.153 0.167
```

Winner for stability: (ii)

(i)
TiNb2Os2 | PBE-GGA | optimized geometry

Cell and atoms, written as POSCAR:
```
TiNb2Os2
1.0
-1.695 -7.094 -2.278
7.451 -1.630 -0.467
-0.020 -0.903 2.828
Nb Os Ti
4 4 2
direct
0.350 0.850 0.000
0.850 0.650 0.000
0.650 0.150 0.000
0.150 0.350 0.000
0.149 0.649 0.500
0.649 0.851 0.500
0.851 0.351 0.500
0.351 0.149 0.500
0.000 0.000 0.000
0.500 0.500 0.000
```

(ii)
TiNb2Os2 | PBE-GGA | optimized geometry

Cell and atoms, written as POSCAR:
```
TiNb2Os2
1.0
-6.991 2.502 0.448
-2.367 -6.886 1.523
0.389 0.540 3.045
Nb Os Ti
4 4 2
direct
0.164 0.664 0.500
0.664 0.836 0.500
0.836 0.336 0.500
0.336 0.164 0.500
0.363 0.863 0.000
0.863 0.637 0.000
0.637 0.137 0.000
0.137 0.363 0.000
0.000 0.000 0.000
0.500 0.500 0.000
```

(iii)
TiNb2Os2 | PBE-GGA | optimized geometry

Cell and atoms, written as POSCAR:
```
TiNb2Os2
1.0
-3.639 1.826 -1.352
0.069 -2.462 -3.513
-4.586 -4.020 0.108
Nb Os Ti
2 2 1
direct
0.750 0.250 0.500
0.250 0.750 0.500
0.385 0.385 0.230
0.615 0.615 0.770
0.000 0.000 0.000
```

Winner for stability: (ii)

(i)
Ti4NbOs | PBE-GGA | optimized geometry

Cell and atoms, written as POSCAR:
```
Ti4NbOs
1.0
4.094 0.000 1.784
1.389 4.504 2.402
0.109 -0.124 5.339
Ti Nb Os
4 1 1
direct
0.657 0.995 0.691
0.343 0.005 0.309
0.683 0.463 0.172
0.317 0.537 0.828
0.000 0.500 0.500
0.000 0.000 0.000
```

(ii)
Ti4NbOs | PBE-GGA | optimized geometry

Cell and atoms, written as POSCAR:
```
Ti4NbOs
1.0
-0.575 -3.770 2.034
3.361 -1.996 1.843
-0.339 1.542 7.355
Ti Nb Os
4 1 1
direct
0.627 0.627 0.118
0.373 0.373 0.882
0.122 0.122 0.635
0.878 0.878 0.365
0.500 0.500 0.500
0.000 0.000 0.000
```

Winner for stability: (i)

(i)
TiNb4Os | PBE-GGA | optimized geometry

Cell and atoms, written as POSCAR:
```
TiNb4Os
1.0
3.229 -0.153 0.000
0.153 3.229 0.000
0.000 0.000 9.891
Ti Nb Os
1 4 1
direct
0.500 0.500 0.500
0.500 0.500 0.838
0.500 0.500 0.162
0.000 0.000 0.332
0.000 0.000 0.668
0.000 0.000 0.000
```

(ii)
TiNb4Os | PBE-GGA | optimized geometry

Cell and atoms, written as POSCAR:
```
TiNb4Os
1.0
-0.577 -2.919 -3.715
-1.552 -3.891 3.298
-8.416 4.231 1.031
Ti Nb Os
2 8 2
direct
0.866 0.749 0.733
0.134 0.249 0.267
0.873 0.243 0.746
0.127 0.743 0.254
0.442 0.931 0.884
0.558 0.431 0.116
0.709 0.543 0.417
0.291 0.043 0.583
0.716 0.046 0.432
0.284 0.546 0.568
0.582 0.921 0.163
0.418 0.421 0.837
```

Winner for stability: (i)

(i)
NbTlOs2 | PBE-GGA | optimized geometry

Cell and atoms, written as POSCAR:
```
NbTlOs2
1.0
7.482 0.000 0.000
0.000 7.482 0.000
3.741 3.741 2.778
Tl Os Nb
2 4 2
direct
0.000 0.000 0.000
0.750 0.250 0.500
0.582 0.125 0.250
0.168 0.625 0.250
0.375 0.418 0.750
0.875 0.832 0.750
0.500 0.500 0.000
0.250 0.750 0.500
```

(ii)
NbTlOs2 | PBE-GGA | optimized geometry

Cell and atoms, written as POSCAR:
```
NbTlOs2
1.0
0.193 -4.441 -1.104
0.031 -3.180 3.297
-3.662 -2.679 0.632
Tl Os Nb
1 2 1
direct
0.500 0.500 0.500
0.250 0.250 0.250
0.750 0.750 0.750
0.000 0.000 0.000
```

Winner for stability: (ii)

(i)
NbTlOs3 | PBE-GGA | optimized geometry

Cell and atoms, written as POSCAR:
```
NbTlOs3
1.0
4.814 0.000 0.000
0.000 4.814 0.000
0.000 0.000 4.814
Tl Os Nb
1 3 1
direct
0.500 0.500 0.500
0.000 0.500 0.000
0.000 0.000 0.500
0.500 0.000 0.000
0.000 0.000 0.000
```

(ii)
NbTlOs3 | PBE-GGA | optimized geometry

Cell and atoms, written as POSCAR:
```
NbTlOs3
1.0
-2.574 3.333 -2.310
-0.535 -2.991 -3.720
-4.020 -1.736 1.974
Tl Os Nb
1 3 1
direct
0.000 0.000 0.000
0.000 0.500 0.000
0.000 0.000 0.500
0.500 0.000 0.000
0.500 0.500 0.500
```

Winner for stability: (i)